[1]
An optimized crystal structure of AcUC2. Source: Alexandria, functional GGA-PBE.

Cell lengths 3.6211, 3.6198, 6.4250 Å; angles 90.12, 90.01, 120.01 degrees
Closest atoms and distances in Å follow each position.
Atoms (fractional coordinates):
Ac: 0.0000 0.5000 0.5000  6 C 2.95, 2 U 3.21
U: 0.0000 0.5000 0.0000  6 C 2.37-2.38
C: 0.6668 0.8335 0.8244  3 U 2.37-2.38
C: 0.3332 0.1665 0.1756  3 U 2.37-2.38

Properties
Symmetry ... C2/m, No. 12
Density of states at the Fermi level ... 0.85 states/eV/atom
Excess energy over the best structure of this formula in the dataset ... 0.934 eV/f.u.
Total magnetization ... 0.000 μB/atom
Formation enthalpy at 0 K ... 0.248 eV per atom

[2]
An optimized crystal structure of KIrPdO6. Source: Alexandria, functional GGA-PBE.

Cell lengths 5.3289, 5.3289, 5.8979 Å; angles 90.00, 90.00, 60.00 degrees
Closest atoms and distances in Å follow each position.
Atoms (fractional coordinates):
K: 0.0000 0.0000 0.0000  6 O 2.81
Ir: 0.3333 0.3333 0.5000  6 O 1.93
Pd: 0.6666 0.6667 0.5000  6 O 2.01
O: 0.0115 0.3898 0.3145  1 Ir 1.93, 1 Pd 2.01
O: 0.3898 0.0115 0.6855  1 Ir 1.93, 1 Pd 2.01
O: 0.5986 0.3898 0.6855  1 Ir 1.93, 1 Pd 2.01
O: 0.0115 0.5987 0.6855  1 Ir 1.93, 1 Pd 2.01
O: 0.3898 0.5987 0.3145  1 Ir 1.93, 1 Pd 2.01
O: 0.5986 0.0115 0.3145  1 Ir 1.93, 1 Pd 2.01

Properties
Uncorrected formation energy ... -6.10 eV/f.u.
Symmetry ... P312, No. 149
Density of states at the Fermi level ... 0.70 states/eV/atom
Total magnetization ... 0.000 μB/atom

[3]
An optimized crystal structure of AlCl. Source: Alexandria, functional GGA-PBE.

Cell lengths 3.3316, 3.3316, 8.6195 Å; angles 90.00, 90.00, 120.00 degrees
Closest atoms and distances in Å follow each position.
Atoms (fractional coordinates):
Al: 0.3333 0.6667 0.2500  6 Cl 2.89
Al: 0.6667 0.3333 0.7500  6 Cl 2.89
Cl: 0.0000 0.0000 0.0000  6 Al 2.89
Cl: 0.0000 0.0000 0.5000  6 Al 2.89

Properties
Uncorrected formation energy ... -0.54 eV/f.u.
Symmetry ... P6_3/mmc, No. 194
Density of states at the Fermi level ... 0.18 states/eV/atom
Total magnetization ... 0.000 μB/atom